VASP calculation (PBE) on an optimized crystal structure of LaSbBr2.

Cell and atoms, written as POSCAR:
```
LaSbBr2
1.0
1.882 1.087 11.029
-1.882 1.087 11.029
0.000 -2.174 11.029
La Sb Br
1 1 2
Direct
0.000 0.000 0.000 La
0.500 0.500 0.500 Sb
0.397 0.397 0.397 Br
0.603 0.603 0.603 Br
```

Results
For the density of states at the Fermi level, the calculation gives 5.17 states/eV per cell. The formation energy without anion corrections comes out at -0.889 eV/atom.

VASP calculation (PBE) on an optimized crystal structure of La2PmAl2.

Cell and atoms, written as POSCAR:
```
La2PmAl2
1.0
-2.557 3.532 3.986
2.557 -3.532 3.986
2.557 3.532 -3.986
La Pm Al
2 1 2
Direct
0.196 0.196 0.000 La
0.804 0.804 0.000 La
0.500 0.000 0.500 Pm
0.193 0.500 0.693 Al
0.807 0.500 0.307 Al
```

Results
The value obtained for the energy relative to the elements is -302 meV per atom. For the density of states at the Fermi level, the calculation gives 4.18 states/eV per cell.

VASP calculation (PBE) on an optimized crystal structure of Ca2AgRuO6.

Cell and atoms, written as POSCAR:
```
Ca2AgRuO6
1.0
2.840 1.640 4.797
-2.840 1.640 4.797
0.000 -3.280 4.797
Ca Ag Ru O
2 1 1 6
Direct
0.000 0.000 0.000 Ca
0.496 0.496 0.496 Ca
0.227 0.227 0.227 Ag
0.712 0.712 0.712 Ru
0.037 0.465 0.828 O
0.366 0.901 0.602 O
0.465 0.828 0.037 O
0.602 0.366 0.901 O
0.828 0.037 0.465 O
0.901 0.602 0.366 O
```

Results
For the density of states at the Fermi level, the calculation gives 4.35 states/eV per cell. The formation energy without anion corrections comes out at -1.549 eV/atom.

VASP calculation (PBE) on an optimized crystal structure of TlCuGeO4.

Cell and atoms, written as POSCAR:
```
TlCuGeO4
1.0
3.037 -4.599 0.000
3.037 4.599 0.000
0.000 0.000 6.680
Tl Cu Ge O
2 2 2 8
Direct
0.000 0.000 0.000 Tl
0.000 0.000 0.500 Tl
0.325 0.675 0.750 Cu
0.675 0.325 0.250 Cu
0.354 0.646 0.250 Ge
0.646 0.354 0.750 Ge
0.252 0.748 0.025 O
0.252 0.748 0.475 O
0.257 0.287 0.250 O
0.287 0.257 0.750 O
0.713 0.743 0.250 O
0.743 0.713 0.750 O
0.748 0.252 0.525 O
0.748 0.252 0.975 O
```

Results
For the density of states at the Fermi level, the calculation gives 5.22 states/eV per cell. The formation energy without anion corrections comes out at -0.962 eV/atom.

VASP calculation (PBE) on an optimized crystal structure of Ca2RuW.

Cell and atoms, written as POSCAR:
```
Ca2RuW
1.0
1.529 0.883 9.919
-1.529 0.883 9.919
0.000 -1.765 9.919
Ca Ru W
2 1 1
Direct
0.244 0.244 0.244 Ca
0.756 0.756 0.756 Ca
0.500 0.500 0.500 Ru
0.000 0.000 0.000 W
```

Results
The value obtained for the energy relative to the elements is 839 meV per atom. For the density of states at the Fermi level, the calculation gives 3.14 states/eV per cell.

VASP calculation (PBE) on an optimized crystal structure of Sm5Tm2In.

Cell and atoms, written as POSCAR:
```
Sm5Tm2In
1.0
-1.722 5.598 6.473
1.722 -5.598 6.473
1.722 5.598 -6.473
Sm Tm In
5 2 1
Direct
0.000 0.000 0.000 Sm
0.105 0.370 0.735 Sm
0.366 0.630 0.735 Sm
0.634 0.370 0.265 Sm
0.895 0.630 0.265 Sm
0.269 0.269 0.000 Tm
0.731 0.731 0.000 Tm
0.500 0.000 0.500 In
```

Results
The value obtained for the energy relative to the elements is -32 meV per atom. For the density of states at the Fermi level, the calculation gives 10.66 states/eV per cell.

no.,DFT total energy (eV per atom)
1,-3.99
2,-4.72
3,-6.14
4,-5.38
5,-5.72
6,-4.44